This record from the Alexandria database describes Ce3O after structural relaxation. The functional is PBE-GGA.

Unit cell a=3.2228 b=8.8175 c=5.8127 alpha=90.00 beta=90.00 gamma=90.00
Space group Imm2 (No. 44)
One atom of each set of equivalent atoms:
Ce  0.0000  0.0000  0.0000 x2
Ce  0.0000  0.1814  0.4588 x4
O  0.0000  0.5000  0.1710 x2

Summary:
Total magnetic moment (Bohr magnetons per cell): 0.00
Uncorrected energy (eV/atom): -6.73
Formation energy (no corrections) (meV per atom): -1042

This record from the Alexandria database describes Ce3O4 after structural relaxation. The functional is PBE-GGA.

Unit cell a=7.3847 b=7.3847 c=7.3847 alpha=90.00 beta=90.00 gamma=90.00
Space group I-43d (No. 220)
One atom of each set of equivalent atoms:
Ce  0.0000  0.2500  0.3750 x12
O  0.0735  0.0735  0.0735 x16

Summary:
E above lowest polymorph (eV per atom): 0.000
Total magnetic moment (Bohr magnetons per cell): 16.22
Uncorrected energy (eV/atom): -8.42
Formation energy (no corrections) (meV per atom): -3041

This record from the Alexandria database describes Ce3O4 after structural relaxation. The functional is PBE-GGA.

Unit cell a=4.8631 b=4.8631 c=4.8631 alpha=90.00 beta=90.00 gamma=90.00
Space group Pm-3m (No. 221)
One atom of each set of equivalent atoms:
Ce  0.0000  0.0000  0.5000 x3
O  0.0000  0.0000  0.0000 x1
O  0.0000  0.5000  0.5000 x3

Summary:
E above lowest polymorph (eV per atom): 0.101
Total magnetic moment (Bohr magnetons per cell): 2.07
Uncorrected energy (eV/atom): -8.32
Formation energy (no corrections) (meV per atom): -2940

This record from the Alexandria database describes Ce16O27 after structural relaxation. The functional is PBE-GGA.

Unit cell a=9.5579 b=9.6028 c=15.7076 alpha=89.94 beta=89.97 gamma=70.75
Space group P1 (No. 1)
One atom of each set of equivalent atoms:
Ce  0.0000  0.0000  0.0000 x1
Ce  0.0011  0.9967  0.5016 x1
Ce  0.0026  0.9864  0.7636 x1
Ce  0.1189  0.6431  0.6232 x1
Ce  0.1237  0.6122  0.1391 x1
Ce  0.1295  0.6032  0.8659 x1
Ce  0.1369  0.5973  0.3783 x1
Ce  0.2173  0.2429  0.2499 x1
Ce  0.2386  0.2434  0.7528 x1
Ce  0.2484  0.2316  0.4896 x1
Ce  0.2518  0.2582  0.0134 x1
Ce  0.3558  0.8820  0.6377 x1
Ce  0.3628  0.8760  0.1249 x1
Ce  0.3697  0.8415  0.8774 x1
Ce  0.3817  0.8802  0.3654 x1
Ce  0.4797  0.5010  0.0136 x1
Ce  0.4815  0.5030  0.7392 x1
Ce  0.4896  0.4733  0.4990 x1
Ce  0.4940  0.5166  0.2548 x1
Ce  0.5945  0.1194  0.6303 x1
Ce  0.6274  0.1140  0.1123 x1
Ce  0.6347  0.1044  0.3865 x1
Ce  0.6412  0.1027  0.8736 x1
Ce  0.7256  0.7407  0.9991 x1
Ce  0.7373  0.7622  0.2393 x1
Ce  0.7433  0.7480  0.7524 x1
Ce  0.7567  0.7541  0.5106 x1
Ce  0.8470  0.3901  0.6243 x1
Ce  0.8487  0.3875  0.1350 x1
Ce  0.8592  0.3535  0.3771 x1
Ce  0.8747  0.3836  0.8683 x1
Ce  0.9764  0.0038  0.2376 x1
O  0.0016  0.7500  0.4862 x1
O  0.0940  0.3763  0.3768 x1
O  0.0976  0.8600  0.1146 x1
O  0.1000  0.3629  0.1230 x1
O  0.1012  0.8978  0.6308 x1
O  0.1147  0.8475  0.8888 x1
O  0.1283  0.3442  0.8820 x1
O  0.2223  0.9858  0.2552 x1
O  0.2229  0.5162  0.0075 x1
O  0.2309  0.4861  0.7338 x1
O  0.2350  0.4745  0.5099 x1
O  0.2386  0.0255  0.9962 x1
O  0.2488  0.0009  0.7696 x1
O  0.2567  0.9711  0.4882 x1
O  0.2622  0.4717  0.2553 x1
O  0.3394  0.1374  0.6268 x1
O  0.3625  0.6407  0.3860 x1
O  0.3636  0.6290  0.1336 x1
O  0.3738  0.6350  0.6124 x1
O  0.3764  0.1400  0.1377 x1
O  0.3795  0.1271  0.3615 x1
O  0.3868  0.5856  0.8727 x1
O  0.4838  0.7403  0.0021 x1
O  0.4842  0.7434  0.7509 x1
O  0.4859  0.2388  0.7698 x1
O  0.4915  0.2313  0.5009 x1
O  0.4947  0.7595  0.2478 x1
O  0.4976  0.2431  0.9859 x1
O  0.5994  0.8848  0.8730 x1
O  0.6015  0.3663  0.1417 x1
O  0.6028  0.8651  0.6193 x1
O  0.6098  0.8761  0.1181 x1
O  0.6109  0.3504  0.3674 x1
O  0.6231  0.3538  0.6248 x1
O  0.6355  0.8532  0.3866 x1
O  0.7221  0.0193  0.2444 x1
O  0.7233  0.5224  0.4921 x1
O  0.7308  0.4956  0.7582 x1
O  0.7391  0.4684  0.9940 x1
O  0.7507  0.5167  0.2622 x1
O  0.7551  0.0021  0.7436 x1
O  0.7594  0.0077  0.5207 x1
O  0.7716  0.9663  0.9957 x1
O  0.8698  0.6369  0.1175 x1
O  0.8718  0.1435  0.8815 x1
O  0.8737  0.1390  0.1103 x1
O  0.8777  0.6272  0.8825 x1
O  0.8836  0.6121  0.6261 x1
O  0.8904  0.0942  0.3770 x1
O  0.9732  0.2464  0.2509 x1
O  0.9878  0.2414  0.5185 x1
O  0.9941  0.2524  0.7300 x1
O  0.9936  0.7439  0.2699 x1
O  0.9982  0.7465  0.7513 x1

Summary:
Total magnetic moment (Bohr magnetons per cell): 20.47
Uncorrected energy (eV/atom): -8.77
Formation energy (no corrections) (meV per atom): -3453

This record from the Alexandria database describes Ce3O after structural relaxation. The functional is PBE-GGA.

Unit cell a=3.4381 b=3.4381 c=8.0297 alpha=90.00 beta=90.00 gamma=90.00
Space group P-4m2 (No. 115)
One atom of each set of equivalent atoms:
Ce  0.0000  0.0000  0.0000 x1
Ce  0.0000  0.5000  0.6884 x2
O  0.5000  0.5000  0.5000 x1

Summary:
Total magnetic moment (Bohr magnetons per cell): 0.09
Uncorrected energy (eV/atom): -6.77
Formation energy (no corrections) (meV per atom): -1076

This record from the Alexandria database describes Ce5O6 after structural relaxation. The functional is PBE-GGA.

Unit cell a=6.0598 b=10.4733 c=6.0802 alpha=90.00 beta=109.13 gamma=90.00
Space group C2/m (No. 12)
One atom of each set of equivalent atoms:
Ce  0.0000  0.0000  0.0000 x2
Ce  0.0000  0.1677  0.5000 x4
Ce  0.0000  0.3396  0.0000 x4
O  0.2355  0.0000  0.7486 x4
O  0.2397  0.1747  0.2441 x8

Summary:
Total magnetic moment (Bohr magnetons per cell): 5.80
Uncorrected energy (eV/atom): -8.33
Formation energy (no corrections) (meV per atom): -2933

This record from the Alexandria database describes Ce3O5 after structural relaxation. The functional is PBE-GGA.

Unit cell a=10.2685 b=7.0402 c=6.2632 alpha=90.00 beta=90.00 gamma=90.00
Space group Pnma (No. 62)
One atom of each set of equivalent atoms:
Ce  0.0043  0.2500  0.0487 x4
Ce  0.1746  0.0015  0.5073 x8
O  0.0042  0.2500  0.4542 x4
O  0.1057  0.5239  0.1499 x8
O  0.1918  0.2500  0.8267 x4
O  0.2132  0.7500  0.8070 x4

Summary:
Total magnetic moment (Bohr magnetons per cell): 8.17
Uncorrected energy (eV/atom): -8.68
Formation energy (no corrections) (meV per atom): -3353

This record from the Alexandria database describes CeO after structural relaxation. The functional is PBE-GGA.

Unit cell a=4.9816 b=4.9816 c=4.9816 alpha=90.00 beta=90.00 gamma=90.00
Space group Fm-3m (No. 225)
One atom of each set of equivalent atoms:
Ce  0.0000  0.0000  0.0000 x4
O  0.0000  0.0000  0.5000 x4

Summary:
E above lowest polymorph (eV per atom): 0.000
Total magnetic moment (Bohr magnetons per cell): 0.00
Uncorrected energy (eV/atom): -8.33
Formation energy (no corrections) (meV per atom): -2880

This record from the Alexandria database describes Ce5O after structural relaxation. The functional is PBE-GGA.

Unit cell a=3.9171 b=12.1650 c=5.8760 alpha=90.00 beta=90.00 gamma=90.00
Space group Cmmm (No. 65)
One atom of each set of equivalent atoms:
Ce  0.0000  0.0000  0.0000 x2
Ce  0.0000  0.1236  0.5000 x4
Ce  0.0000  0.3304  0.0000 x4
O  0.0000  0.5000  0.5000 x2

Summary:
Total magnetic moment (Bohr magnetons per cell): 0.00
Uncorrected energy (eV/atom): -6.11
Formation energy (no corrections) (meV per atom): -334

This record from the Alexandria database describes Ce3OsO after structural relaxation. The functional is PBE-GGA.

Unit cell a=7.0077 b=3.6901 c=8.4324 alpha=90.00 beta=100.62 gamma=90.00
Space group P2_1/m (No. 11)
One atom of each set of equivalent atoms:
Ce  0.0865  0.2500  0.3492 x2
Ce  0.2498  0.2500  0.9468 x2
Ce  0.3996  0.7500  0.6377 x2
Os  0.3307  0.7500  0.1922 x2
O  0.1474  0.2500  0.6441 x2

Summary:
Total magnetic moment (Bohr magnetons per cell): 1.06
Uncorrected energy (eV/atom): -7.93
Formation energy (no corrections) (meV per atom): -1135

This record from the Alexandria database describes Ce2OsO after structural relaxation. The functional is PBE-GGA.

Unit cell a=3.7484 b=3.7484 c=19.3376 alpha=90.00 beta=90.00 gamma=120.00
Space group R-3m (No. 166, hexagonal axes)
One atom of each set of equivalent atoms:
Ce  0.0000  0.0000  0.2410 x6
Os  0.0000  0.0000  0.0000 x3
O  0.0000  0.0000  0.5000 x3

Summary:
Total magnetic moment (Bohr magnetons per cell): 0.06
Uncorrected energy (eV/atom): -8.28
Formation energy (no corrections) (meV per atom): -1269

This record from the Alexandria database describes Rb2CeOs3O12 after structural relaxation. The functional is PBE-GGA.

Unit cell a=7.3166 b=7.3166 c=18.8640 alpha=90.00 beta=90.00 gamma=120.00
Space group R-3m (No. 166, hexagonal axes)
One atom of each set of equivalent atoms:
Rb  0.0000  0.0000  0.1248 x6
Ce  0.0000  0.0000  0.5000 x3
Os  0.0000  0.5000  0.0000 x9
O  0.0369  0.5184  0.1007 x18
O  0.0827  0.5413  0.3419 x18

Summary:
Total magnetic moment (Bohr magnetons per cell): 0.00
Uncorrected energy (eV/atom): -7.16
Formation energy (no corrections) (meV per atom): -1546

This record from the Alexandria database describes Ce5Sb2OsO after structural relaxation. The functional is PBE-GGA.

Unit cell a=4.5847 b=4.5847 c=11.4168 alpha=90.00 beta=90.00 gamma=90.00
Space group P4/mmm (No. 123)
One atom of each set of equivalent atoms:
Ce  0.0000  0.0000  0.0000 x1
Ce  0.0000  0.5000  0.5000 x2
Ce  0.5000  0.5000  0.2231 x2
Sb  0.0000  0.0000  0.2896 x2
Os  0.5000  0.5000  0.0000 x1
O  0.5000  0.5000  0.5000 x1

Summary:
Total magnetic moment (Bohr magnetons per cell): 4.64
Uncorrected energy (eV/atom): -7.05
Formation energy (no corrections) (meV per atom): -1037

This record from the Alexandria database describes CeSc2OsO8 after structural relaxation. The functional is PBE-GGA.

Unit cell a=6.8162 b=6.8953 c=6.5918 alpha=90.00 beta=90.00 gamma=90.00
Space group Cmmm (No. 65)
One atom of each set of equivalent atoms:
Ce  0.0000  0.0000  0.0000 x2
Sc  0.0000  0.5000  0.2531 x4
Os  0.0000  0.0000  0.5000 x2
O  0.0000  0.1951  0.2865 x8
O  0.1857  0.5000  0.0000 x4
O  0.2169  0.5000  0.5000 x4

Summary:
Total magnetic moment (Bohr magnetons per cell): 4.06
Uncorrected energy (eV/atom): -8.38
Formation energy (no corrections) (meV per atom): -2585

This record from the Alexandria database describes Sr2CeOsO8 after structural relaxation. The functional is PBE-GGA.

Unit cell a=7.3399 b=7.6469 c=7.0169 alpha=90.00 beta=90.00 gamma=90.00
Space group Cmmm (No. 65)
One atom of each set of equivalent atoms:
Sr  0.0000  0.0000  0.2439 x4
Ce  0.0000  0.5000  0.5000 x2
Os  0.0000  0.5000  0.0000 x2
O  0.0000  0.3310  0.1972 x8
O  0.2240  0.0000  0.5000 x4
O  0.2482  0.0000  0.0000 x4

Summary:
Total magnetic moment (Bohr magnetons per cell): 0.00
Uncorrected energy (eV/atom): -7.19
Formation energy (no corrections) (meV per atom): -2175

This record from the Alexandria database describes CeTl2Os3O12 after structural relaxation. The functional is PBE-GGA.

Unit cell a=7.3098 b=7.3098 c=18.9711 alpha=90.00 beta=90.00 gamma=120.00
Space group R-3m (No. 166, hexagonal axes)
One atom of each set of equivalent atoms:
Ce  0.0000  0.0000  0.0000 x3
Tl  0.0000  0.0000  0.3440 x6
Os  0.0000  0.5000  0.5000 x9
O  0.0349  0.5174  0.6008 x18
O  0.0844  0.5422  0.8412 x18

Summary:
Total magnetic moment (Bohr magnetons per cell): 0.00
Uncorrected energy (eV/atom): -7.10
Formation energy (no corrections) (meV per atom): -1329

This record from the Alexandria database describes CeTlOsO6 after structural relaxation. The functional is PBE-GGA.

Unit cell a=7.4286 b=7.5533 c=10.0801 alpha=90.00 beta=90.00 gamma=90.00
Space group Imma (No. 74)
One atom of each set of equivalent atoms:
Ce  0.0000  0.0000  0.0000 x4
Tl  0.0000  0.2500  0.4132 x4
Os  0.2500  0.2500  0.7500 x4
O  0.0000  0.2500  0.0960 x4
O  0.0000  0.2500  0.8109 x4
O  0.2203  0.0748  0.6210 x16

Summary:
Total magnetic moment (Bohr magnetons per cell): 4.14
Uncorrected energy (eV/atom): -7.10
Formation energy (no corrections) (meV per atom): -1627

This record from the Alexandria database describes Ce5P5O2 after structural relaxation. The functional is PBE-GGA.

Unit cell a=13.4078 b=3.9726 c=9.8334 alpha=90.00 beta=106.91 gamma=90.00
Space group C2/m (No. 12)
One atom of each set of equivalent atoms:
Ce  0.0000  0.0000  0.0000 x2
Ce  0.1024  0.0000  0.3778 x4
Ce  0.1575  0.5000  0.7919 x4
P  0.0000  0.5000  0.5000 x2
P  0.1572  0.5000  0.1231 x4
P  0.2499  0.0000  0.6507 x4
O  0.0571  0.0000  0.8031 x4

Summary:
Total magnetic moment (Bohr magnetons per cell): 7.21
Uncorrected energy (eV/atom): -7.37
Formation energy (no corrections) (meV per atom): -1821